Entry from the Alexandria database: a relaxed FeCoIr2 crystal (GGA-PBEsol).

abc: 3.6441 3.6441 7.4218
angles: 90.00 90.00 90.00
Space group I-4m2 (No. 119)
Inequivalent atoms, fractional coordinates:
Fe  0.0000  0.0000  0.0000 [2 per cell]
Co  0.0000  0.5000  0.7500 [2 per cell]
Ir  0.0000  0.0000  0.5000 [2 per cell]
Ir  0.0000  0.5000  0.2500 [2 per cell]

Raw total energy ... -72.984 eV for the cell shown
Spin magnetization ... 2.8 μB per formula unit
ΔE_f ... -3.5 kJ/mol of atoms

Entry from the Alexandria database: a relaxed Tl2FeIr crystal (GGA-PBEsol).

abc: 3.0189 3.0189 8.4545
angles: 90.00 90.00 90.00
Space group P4mm (No. 99)
Inequivalent atoms, fractional coordinates:
Tl  0.0000  0.0000  0.0000 [1 per cell]
Tl  0.5000  0.5000  0.3526 [1 per cell]
Fe  0.0000  0.0000  0.5917 [1 per cell]
Ir  0.5000  0.5000  0.7467 [1 per cell]

Raw total energy ... -22.555 eV for the cell shown
Polymorph energy (0 for the lowest one) ... 0.0 meV per atom
Spin magnetization ... 3.3 μB per formula unit
ΔE_f ... 36.0 kJ/mol of atoms

Entry from the Alexandria database: a relaxed Sb2POs crystal (GGA-PBEsol).

abc: 4.4301 4.4301 7.4505
angles: 90.00 90.00 90.00
Space group I4/mmm (No. 139)
Inequivalent atoms, fractional coordinates:
Sb  0.0000  0.5000  0.2500 [4 per cell]
P  0.0000  0.0000  0.0000 [2 per cell]
Os  0.0000  0.0000  0.5000 [2 per cell]

Raw total energy ... -49.215 eV for the cell shown
Formation energy from raw total energies ... 0.63 eV/atom
Spin magnetization ... 0.0 μB per formula unit

Entry from the Alexandria database: a relaxed NaGaAs2Br crystal (GGA-PBEsol).

abc: 4.7852 4.7852 5.9961
angles: 90.00 90.00 90.00
Space group P4/mmm (No. 123)
Inequivalent atoms, fractional coordinates:
Na  0.0000  0.0000  0.0000 [1 per cell]
Ga  0.5000  0.5000  0.5000 [1 per cell]
As  0.0000  0.5000  0.5000 [2 per cell]
Br  0.5000  0.5000  0.0000 [1 per cell]

Raw total energy ... -16.473 eV for the cell shown
Formation energy from raw total energies ... 0.07 eV/atom
Spin magnetization ... 0.0 μB per formula unit

Entry from the Alexandria database: a relaxed La2TaW crystal (GGA-PBEsol).

abc: 5.7702 10.6110 2.8979
angles: 90.00 90.00 90.00
Space group Cmmm (No. 65)
Inequivalent atoms, fractional coordinates:
La  0.2500  0.2500  0.0000 [4 per cell]
Ta  0.0000  0.0000  0.5000 [2 per cell]
W  0.0000  0.5000  0.5000 [2 per cell]

Raw total energy ... -68.013 eV for the cell shown
Polymorph energy (0 for the lowest one) ... 0.0 meV per atom
Spin magnetization ... 0.0 μB per formula unit
ΔE_f ... 73.4 kJ/mol of atoms

Entry from the Alexandria database: a relaxed ZrFe4Pt crystal (GGA-PBEsol).

abc: 6.7622 6.7622 6.7622
angles: 90.00 90.00 90.00
Space group F-43m (No. 216)
Inequivalent atoms, fractional coordinates:
Zr  0.0000  0.0000  0.0000 [4 per cell]
Fe  0.1254  0.1254  0.3746 [16 per cell]
Pt  0.2500  0.2500  0.7500 [4 per cell]

Raw total energy ... -214.944 eV for the cell shown
Spin magnetization ... 7.8 μB per formula unit
ΔE_f ... -29.4 kJ/mol of atoms